The following is a DFT calculation (PBE with a Hubbard U) of a relaxed Nb2MoOsF crystal.

Calculated values
**E_tot**: -6.30 eV per atom

Cell: 4.903 4.664 4.903 Å, 90.00 90.00 90.00°
Positions (direct):
Nb1 0.000 0.000 0.500
Mo1 0.000 0.000 0.000
F1 0.500 0.500 0.500
Nb2 0.500 0.000 0.000
Os1 0.000 0.500 0.000